Computed, not measured: a relaxed structure of Fe2CoSbC at the GGA-PBE level of DFT.

Computed properties:
Formation energy without anion corrections in eV per atom: 0.1385
Total magnetization in μB per atom: 0.624

Cell lengths 3.8780, 3.8780, 3.8583 Å; angles 90.00, 90.00, 90.00 degrees
Element x y z (fractional)
Fe  0.0000  0.5000  0.0000
Fe  0.5000  0.0000  0.0000
Co  0.0000  0.0000  0.5000
Sb  0.5000  0.5000  0.5000
C  0.0000  0.0000  0.0000